## HgOsAuO2 (PBE)

Data for an optimized crystal structure of HgOsAuO2.

Properties
volume = 84.32 Å³/cell
space-group type = P4/mmm
total magnetic moment = 0.000 μB per atom
DOS at the Fermi energy = 0.74 states/eV/atom
energy relative to the elements, uncorrected = -0.3914 eV/atom

Cell lengths 3.803, 3.803, 5.830 Å; angles 90.00, 90.00, 90.00 degrees
Fractional coordinates of all 5 atoms:
Au (0.000, 0.000, 0.500)
Hg (0.500, 0.500, 0.500)
O (0.000, 0.500, 0.000)
O (0.500, 0.000, 0.000)
Os (0.000, 0.000, 0.000)